Model P:
## Sm2AgTe (GGA-PBE)

Data for Sm2AgTe after structural relaxation.

Cell lengths 3.8929, 3.8929, 7.1418 Å; angles 90.00, 90.00, 90.00 degrees
Fractional positions:
1 Te 0.5000 0.5000 0.5000
2 Ag 0.5000 0.5000 0.0000
3 Sm 0.0000 0.0000 0.7545
4 Sm 0.0000 0.0000 0.2455

Calculated values
- theoretical density (g/cm³) = 8.2
- Fermi-level density of states (states/eV/f.u.) = 4.11
- space group = P4/mmm (123)

Model Q:
## Sm2AgTe (GGA-PBE)

Data for Sm2AgTe after structural relaxation.

Cell lengths 4.6085, 4.1965, 12.1627 Å; angles 99.93, 90.00, 90.00 degrees
Fractional positions:
1 Sm 0.7500 0.6749 0.3498
2 Sm 0.2500 0.3251 0.6502
3 Sm 0.7500 0.9373 0.8747
4 Sm 0.2500 0.0627 0.1253
5 Ag 0.2500 0.4605 0.9210
6 Ag 0.7500 0.5395 0.0790
7 Te 0.2500 0.1935 0.3870
8 Te 0.7500 0.8065 0.6130

Calculated values
- theoretical density (g/cm³) = 7.7
- Fermi-level density of states (states/eV/f.u.) = 2.79
- space group = Cmcm (63)

Relative stability in meV/atom, measured from the most stable structure: model P 97; model Q 0

Model P:
## Sm5AgTe4 (GGA-PBE)

Data for Sm5AgTe4 after structural relaxation.

Cell lengths 4.4191, 4.4191, 15.9775 Å; angles 97.95, 97.95, 90.00 degrees
Fractional positions:
1 Sm 0.0995 0.0995 0.1991
2 Sm 0.5000 0.5000 0.0000
3 Sm 0.9005 0.9005 0.8009
4 Sm 0.3027 0.3027 0.6054
5 Sm 0.6973 0.6973 0.3946
6 Ag 0.0000 0.0000 0.0000
7 Te 0.4010 0.4010 0.8020
8 Te 0.7998 0.7998 0.5996
9 Te 0.2002 0.2002 0.4004
10 Te 0.5990 0.5990 0.1980

Calculated values
- theoretical density (g/cm³) = 7.4
- Fermi-level density of states (states/eV/f.u.) = 7.09
- space group = I4/mmm (139)

Model Q:
## Sm5AgTe4 (GGA-PBE)

Data for Sm5AgTe4 after structural relaxation.

Cell lengths 4.3356, 6.2866, 11.8491 Å; angles 105.38, 100.54, 90.00 degrees
Fractional positions:
1 Sm 0.5943 0.0943 0.1886
2 Sm 0.7994 0.2994 0.5988
3 Sm 0.2006 0.7006 0.4012
4 Sm 0.0000 0.5000 0.0000
5 Sm 0.4057 0.9057 0.8114
6 Ag 0.0000 0.0000 0.0000
7 Te 0.3992 0.3992 0.7984
8 Te 0.8027 0.8027 0.6053
9 Te 0.1973 0.1973 0.3947
10 Te 0.6008 0.6008 0.2016

Calculated values
- theoretical density (g/cm³) = 7.4
- Fermi-level density of states (states/eV/f.u.) = 6.03
- space group = Immm (71)

Relative stability in meV/atom, measured from the most stable structure: model P 10; model Q 0

Model P:
## SmThAg4 (GGA-PBE)

Data for SmThAg4 after structural relaxation.

Cell lengths 5.7639, 5.7639, 5.7639 Å; angles 60.00, 60.00, 60.00 degrees
Fractional positions:
1 Ag 0.6249 0.6249 0.1252
2 Ag 0.6249 0.1252 0.6249
3 Ag 0.6249 0.6249 0.6249
4 Ag 0.1252 0.6249 0.6249
5 Sm 0.2500 0.2500 0.2500
6 Th 0.0000 0.0000 0.0000

Calculated values
- theoretical density (g/cm³) = 10.0
- Fermi-level density of states (states/eV/f.u.) = 6.53
- space group = F-43m (216)

Model Q:
## SmThAg4 (GGA-PBE)

Data for SmThAg4 after structural relaxation.

Cell lengths 5.3695, 5.3646, 5.5431 Å; angles 61.06, 89.92, 89.84 degrees
Fractional positions:
1 Sm 0.0013 0.5018 0.4954
2 Th 0.5013 0.0019 0.4955
3 Ag 0.5013 0.6774 0.1446
4 Ag 0.5013 0.3265 0.8463
5 Ag 0.0013 0.1795 0.1398
6 Ag 0.0013 0.8239 0.8510

Calculated values
- theoretical density (g/cm³) = 9.7
- Fermi-level density of states (states/eV/f.u.) = 4.13
- space group = C2/m (12)

Relative stability in meV/atom, measured from the most stable structure: model P 79; model Q 0

Model P:
## Sm2Tl2Ag (GGA-PBE)

Data for Sm2Tl2Ag after structural relaxation.

Cell lengths 4.3060, 6.2224, 11.5003 Å; angles 75.98, 79.21, 69.76 degrees
Fractional positions:
1 Sm 0.3897 0.8307 0.8898
2 Sm 0.8897 0.3307 0.3898
3 Sm 0.6103 0.1693 0.1102
4 Sm 0.1103 0.6693 0.6102
5 Tl 0.3886 0.1115 0.6114
6 Tl 0.1115 0.3885 0.8886
7 Tl 0.6114 0.8885 0.3886
8 Tl 0.8885 0.6115 0.1114
9 Ag 0.2499 0.7500 0.2500
10 Ag 0.7501 0.2500 0.7500

Calculated values
- theoretical density (g/cm³) = 9.7
- Fermi-level density of states (states/eV/f.u.) = 3.76
- space group = Immm (71)

Model Q:
## Sm2Tl2Ag (GGA-PBE)

Data for Sm2Tl2Ag after structural relaxation.

Cell lengths 4.8129, 6.2092, 10.3492 Å; angles 90.61, 76.55, 67.20 degrees
Fractional positions:
1 Sm 0.6860 0.2830 0.3450
2 Sm 0.9249 0.2463 0.9039
3 Sm 0.3140 0.7170 0.6550
4 Sm 0.0751 0.7537 0.0961
5 Tl 0.0536 0.3054 0.5873
6 Tl 0.6633 0.7979 0.8755
7 Tl 0.9464 0.6946 0.4127
8 Tl 0.3367 0.2021 0.1245
9 Ag 0.6181 0.1015 0.6622
10 Ag 0.3819 0.8985 0.3378

Calculated values
- theoretical density (g/cm³) = 9.9
- Fermi-level density of states (states/eV/f.u.) = 3.59
- space group = C2/m (12)

Relative stability in meV/atom, measured from the most stable structure: model P 73; model Q 0

Model P:
## SmTlAg2 (GGA-PBE)

Data for SmTlAg2 after structural relaxation.

Cell lengths 5.0523, 5.0523, 5.0523 Å; angles 60.00, 60.00, 60.00 degrees
Fractional positions:
1 Tl 0.5000 0.5000 0.5000
2 Ag 0.2500 0.2500 0.2500
3 Ag 0.7500 0.7500 0.7500
4 Sm 0.0000 0.0000 0.0000

Calculated values
- theoretical density (g/cm³) = 10.4
- Fermi-level density of states (states/eV/f.u.) = 2.19
- space group = Fm-3m (225)

Model Q:
## SmTlAg2 (GGA-PBE)

Data for SmTlAg2 after structural relaxation.

Cell lengths 3.8331, 3.8331, 6.6393 Å; angles 90.00, 90.00, 90.00 degrees
Fractional positions:
1 Tl 0.5000 0.5000 0.5000
2 Ag 0.0000 0.0000 0.7571
3 Ag 0.0000 0.0000 0.2429
4 Sm 0.5000 0.5000 0.0000

Calculated values
- theoretical density (g/cm³) = 9.7
- Fermi-level density of states (states/eV/f.u.) = 2.15
- space group = P4/mmm (123)

Relative stability in meV/atom, measured from the most stable structure: model P 0; model Q 109

Model P:
## Sm4TlAg2 (GGA-PBE)

Data for Sm4TlAg2 after structural relaxation.

Cell lengths 5.0743, 5.0743, 10.1287 Å; angles 75.49, 75.49, 60.00 degrees
Fractional positions:
1 Sm 0.3798 0.3798 0.8605
2 Sm 0.2047 0.2047 0.3859
3 Sm 0.7953 0.7953 0.6141
4 Sm 0.6202 0.6202 0.1395
5 Tl 0.0000 0.0000 0.0000
6 Ag 0.1008 0.1008 0.6977
7 Ag 0.8992 0.8992 0.3023

Calculated values
- theoretical density (g/cm³) = 7.8
- Fermi-level density of states (states/eV/f.u.) = 9.75
- space group = R-3m (166)

Model Q:
## Sm4TlAg2 (GGA-PBE)

Data for Sm4TlAg2 after structural relaxation.

Cell lengths 5.2679, 5.2679, 8.9105 Å; angles 72.81, 72.81, 60.00 degrees
Fractional positions:
1 Tl 0.0000 0.0000 0.0000
2 Ag 0.7441 0.7441 0.7678
3 Ag 0.2559 0.2559 0.2322
4 Sm 0.8691 0.8691 0.3927
5 Sm 0.1309 0.1309 0.6073
6 Sm 0.6149 0.6149 0.1554
7 Sm 0.3851 0.3851 0.8446

Calculated values
- theoretical density (g/cm³) = 8.4
- Fermi-level density of states (states/eV/f.u.) = 8.69
- space group = R-3m (166)

Relative stability in meV/atom, measured from the most stable structure: model P 118; model Q 0

Model P:
## Sm4Tl2Ag (GGA-PBE)

Data for Sm4Tl2Ag after structural relaxation.

Cell lengths 7.2293, 6.7385, 9.6292 Å; angles 90.00, 115.53, 90.00 degrees
Fractional positions:
1 Sm 0.5500 0.4914 0.2245
2 Sm 0.0217 0.7500 0.8500
3 Sm 0.9783 0.2500 0.1500
4 Sm 0.5500 0.0086 0.2245
5 Sm 0.9642 0.2500 0.5512
6 Sm 0.4500 0.9914 0.7755
7 Sm 0.4500 0.5086 0.7755
8 Sm 0.0358 0.7500 0.4488
9 Tl 0.7792 0.7500 0.0661
10 Tl 0.2208 0.2500 0.9339
11 Tl 0.3985 0.2500 0.4658
12 Tl 0.6015 0.7500 0.5342
13 Ag 0.2123 0.7500 0.2191
14 Ag 0.7877 0.2500 0.7809

Calculated values
- theoretical density (g/cm³) = 8.8
- Fermi-level density of states (states/eV/f.u.) = 7.02
- space group = P2_1/m (11)

Model Q:
## Sm4Tl2Ag (GGA-PBE)

Data for Sm4Tl2Ag after structural relaxation.

Cell lengths 5.3463, 5.3463, 9.1987 Å; angles 73.11, 73.11, 60.00 degrees
Fractional positions:
1 Tl 0.7514 0.7514 0.7459
2 Tl 0.2486 0.2486 0.2541
3 Ag 0.0000 0.0000 0.0000
4 Sm 0.8747 0.8747 0.3758
5 Sm 0.1253 0.1253 0.6242
6 Sm 0.6240 0.6240 0.1280
7 Sm 0.3760 0.3760 0.8720

Calculated values
- theoretical density (g/cm³) = 8.7
- Fermi-level density of states (states/eV/f.u.) = 10.04
- space group = R-3m (166)

Relative stability in meV/atom, measured from the most stable structure: model P 47; model Q 0

Model P:
## Sm4TlAg (GGA-PBE)

Data for Sm4TlAg after structural relaxation.

Cell lengths 5.5968, 6.5731, 10.9097 Å; angles 90.00, 104.86, 90.00 degrees
Fractional positions:
1 Sm 0.8784 0.3030 0.7568
2 Sm 0.1216 0.8030 0.2432
3 Sm 0.4400 0.8446 0.8801
4 Sm 0.5600 0.3446 0.1199
5 Sm 0.7162 0.5609 0.4324
6 Sm 0.2838 0.0609 0.5676
7 Sm 0.7027 0.0786 0.4054
8 Sm 0.2973 0.5786 0.5946
9 Tl 0.8524 0.8150 0.7047
10 Tl 0.1476 0.3150 0.2953
11 Ag 0.5798 0.8314 0.1595
12 Ag 0.4202 0.3314 0.8405

Calculated values
- theoretical density (g/cm³) = 7.8
- Fermi-level density of states (states/eV/f.u.) = 6.68
- space group = Cmc2_1 (36)

Model Q:
## Sm4TlAg (GGA-PBE)

Data for Sm4TlAg after structural relaxation.

Cell lengths 3.7142, 3.7142, 12.9844 Å; angles 90.00, 90.00, 90.00 degrees
Fractional positions:
1 Sm 0.5000 0.5000 0.8558
2 Sm 0.5000 0.5000 0.1442
3 Sm 0.0000 0.0000 0.6608
4 Sm 0.0000 0.0000 0.3392
5 Tl 0.5000 0.5000 0.5000
6 Ag 0.0000 0.0000 0.0000

Calculated values
- theoretical density (g/cm³) = 8.5
- Fermi-level density of states (states/eV/f.u.) = 6.26
- space group = P4/mmm (123)

Relative stability in meV/atom, measured from the most stable structure: model P 159; model Q 0